The following is a DFT calculation (GGA-PBE) of KSnGeSb2 after structural relaxation.

It has space group P4/mmm (No. 123), with a = 5.818 Å, b = 5.818 Å, c = 5.401 Å, α = 90.00°, β = 90.00° and γ = 90.00°. The distinct sites, in fractional coordinates, are K at (0.000, 0.000, 0.000), Sn at (0.500, 0.500, 0.500), Ge at (0.000, 0.000, 0.500) and Sb at (0.000, 0.500, 0.000).

As for the uncorrected formation energy: 117.89 kJ/mol of atoms.

The following is a DFT calculation (GGA-PBE) of TeSe2S2 after structural relaxation.

It has space group P-1 (No. 2), with a = 3.104 Å, b = 3.917 Å, c = 11.217 Å, α = 90.00°, β = 97.69° and γ = 90.19°. The distinct sites, in fractional coordinates, are Te at (0.000, 0.000, 0.000), Se at (0.086, 0.499, 0.182) and S at (0.266, 0.842, 0.535).

As for the energy above the most stable polymorph in this dataset: 0.0000 eV per atom. As for the uncorrected formation energy: 22.99 kJ/mol of atoms.

The following is a DFT calculation (GGA-PBE) of Ca2TlCuO4 after structural relaxation.

It has space group P2/m (No. 10), with a = 5.744 Å, b = 3.406 Å, c = 5.988 Å, α = 90.00°, β = 111.94° and γ = 90.00°. The distinct sites, in fractional coordinates, are Ca at (0.000, 0.000, 0.000), Ca at (0.000, 0.500, 0.500), Tl at (0.500, 0.000, 0.500), Cu at (0.500, 0.500, 0.000), O at (0.236, 0.500, 0.257) and O at (0.264, 0.000, 0.756).

As for the uncorrected formation energy: -156.32 kJ/mol of atoms.

Taking the records one at a time from the top gives V values of 36.6 27.0 13.6 Å³/atom.